(1)
First-principles (GGA+U) data for crystalline ZnCoP2O7 at its relaxed geometry, as listed in the Alexandria database.

Unit cell a=7.066 b=8.413 c=9.146 alpha=90.00 beta=113.17 gamma=90.00
Space group P2_1/c (No. 14)
One atom of each set of equivalent atoms:
1 Zn 0.196 0.058 0.317 [4 per cell]
2 Co 0.268 0.072 0.893 [4 per cell]
3 P 0.033 0.725 0.969 [4 per cell]
4 P 0.440 0.732 0.259 [4 per cell]
5 O 0.016 0.092 0.655 [4 per cell]
6 O 0.056 0.611 0.400 [4 per cell]
7 O 0.122 0.235 0.451 [4 per cell]
8 O 0.250 0.672 0.101 [4 per cell]
9 O 0.380 0.242 0.297 [4 per cell]
10 O 0.389 0.611 0.814 [4 per cell]
11 O 0.476 0.596 0.380 [4 per cell]

Values from the calculation:
Its energy above the most stable polymorph in this dataset is 0 meV per atom. The calculated total energy comes out at -72.87 eV per formula unit. As for the crystal system: monoclinic.

(2)
First-principles (GGA+U) data for crystalline ZnCoP2O at its relaxed geometry, as listed in the Alexandria database.

Unit cell a=4.869 b=4.869 c=3.530 alpha=90.00 beta=90.00 gamma=90.00
Space group P4/mmm (No. 123)
One atom of each set of equivalent atoms:
1 Zn 0.000 0.000 0.000 [1 per cell]
2 Co 0.500 0.500 0.500 [1 per cell]
3 P 0.000 0.500 0.000 [2 per cell]
4 O 0.000 0.000 0.500 [1 per cell]

Values from the calculation:
Its energy above the most stable polymorph in this dataset is 507 meV per atom. The calculated total energy comes out at -18.23 eV per formula unit. As for the crystal system: tetragonal.

(3)
First-principles (GGA+U) data for crystalline ZnCoP2O7 at its relaxed geometry, as listed in the Alexandria database.

Unit cell a=6.229 b=6.440 c=6.968 alpha=69.09 beta=78.11 gamma=81.13
Space group P-1 (No. 2)
One atom of each set of equivalent atoms:
1 Zn 0.061 0.217 0.293 [2 per cell]
2 Co 0.338 0.403 0.711 [2 per cell]
3 P 0.158 0.707 0.270 [2 per cell]
4 P 0.406 0.854 0.829 [2 per cell]
5 O 0.002 0.430 0.765 [2 per cell]
6 O 0.041 0.870 0.384 [2 per cell]
7 O 0.265 0.868 0.051 [2 per cell]
8 O 0.270 0.714 0.766 [2 per cell]
9 O 0.338 0.548 0.382 [2 per cell]
10 O 0.366 0.261 0.122 [2 per cell]
11 O 0.406 0.096 0.691 [2 per cell]

Values from the calculation:
Its energy above the most stable polymorph in this dataset is 15 meV per atom. The calculated total energy comes out at -72.71 eV per formula unit. As for the crystal system: triclinic.

(4)
First-principles (GGA+U) data for crystalline ZnCo3P4O14 at its relaxed geometry, as listed in the Alexandria database.

Unit cell a=7.406 b=7.367 c=9.785 alpha=90.00 beta=114.39 gamma=90.00
Space group P2_1/c (No. 14)
One atom of each set of equivalent atoms:
1 Zn 0.000 0.000 0.000 [2 per cell]
2 Co 0.317 0.127 0.474 [4 per cell]
3 Co 0.500 0.000 0.000 [2 per cell]
4 P 0.088 0.098 0.695 [4 per cell]
5 P 0.363 0.699 0.184 [4 per cell]
6 O 0.122 0.247 0.598 [4 per cell]
7 O 0.124 0.557 0.831 [4 per cell]
8 O 0.162 0.591 0.152 [4 per cell]
9 O 0.219 0.127 0.866 [4 per cell]
10 O 0.297 0.620 0.599 [4 per cell]
11 O 0.470 0.710 0.356 [4 per cell]
12 O 0.475 0.583 0.115 [4 per cell]

Values from the calculation:
The calculated total energy comes out at -147.83 eV per formula unit. As for the crystal system: monoclinic.

(5)
First-principles (GGA+U) data for crystalline ZrCoP2O at its relaxed geometry, as listed in the Alexandria database.

Unit cell a=4.592 b=4.592 c=3.523 alpha=90.00 beta=90.00 gamma=90.00
Space group P4/mmm (No. 123)
One atom of each set of equivalent atoms:
1 Zr 0.000 0.000 0.000 [1 per cell]
2 Co 0.500 0.500 0.500 [1 per cell]
3 P 0.000 0.500 0.500 [2 per cell]
4 O 0.500 0.500 0.000 [1 per cell]

Values from the calculation:
Its energy above the most stable polymorph in this dataset is 0 meV per atom. The calculated total energy comes out at -30.78 eV per formula unit. As for the crystal system: tetragonal.

(6)
First-principles (GGA+U) data for crystalline ZrCoP2O at its relaxed geometry, as listed in the Alexandria database.

Unit cell a=5.182 b=5.182 c=3.959 alpha=90.00 beta=90.00 gamma=90.00
Space group P4/mmm (No. 123)
One atom of each set of equivalent atoms:
1 Zr 0.000 0.000 0.000 [1 per cell]
2 Co 0.500 0.500 0.500 [1 per cell]
3 P 0.000 0.500 0.000 [2 per cell]
4 O 0.000 0.000 0.500 [1 per cell]

Values from the calculation:
Its energy above the most stable polymorph in this dataset is 228 meV per atom. The calculated total energy comes out at -29.64 eV per formula unit. As for the crystal system: tetragonal.

(7)
First-principles (GGA+U) data for crystalline Pa3Co5O16 at its relaxed geometry, as listed in the Alexandria database.

Unit cell a=10.584 b=6.937 c=8.892 alpha=90.00 beta=92.64 gamma=90.00
Space group Cm (No. 8)
One atom of each set of equivalent atoms:
1 Pa 0.000 0.000 0.000 [2 per cell]
2 Pa 0.077 0.252 0.526 [4 per cell]
3 Co 0.000 0.500 0.815 [2 per cell]
4 Co 0.244 0.275 0.040 [4 per cell]
5 Co 0.323 0.500 0.306 [2 per cell]
6 Co 0.328 0.000 0.526 [2 per cell]
7 O 0.094 0.274 0.923 [4 per cell]
8 O 0.136 0.500 0.669 [2 per cell]
9 O 0.161 0.000 0.639 [2 per cell]
10 O 0.178 0.000 0.107 [2 per cell]
11 O 0.189 0.500 0.170 [2 per cell]
12 O 0.253 0.246 0.422 [4 per cell]
13 O 0.314 0.500 0.915 [2 per cell]
14 O 0.377 0.000 0.925 [2 per cell]
15 O 0.393 0.300 0.150 [4 per cell]
16 O 0.422 0.190 0.667 [4 per cell]
17 O 0.481 0.500 0.416 [2 per cell]
18 O 0.491 0.000 0.410 [2 per cell]

Values from the calculation:
The calculated total energy comes out at -176.05 eV per formula unit. As for the crystal system: monoclinic.

(8)
First-principles (GGA+U) data for crystalline Pa2Co2O7 at its relaxed geometry, as listed in the Alexandria database.

Unit cell a=6.991 b=9.217 c=5.347 alpha=90.00 beta=101.01 gamma=90.00
Space group C2/m (No. 12)
One atom of each set of equivalent atoms:
1 Pa 0.000 0.195 0.000 [4 per cell]
2 Co 0.240 0.500 0.418 [4 per cell]
3 O 0.000 0.500 0.500 [2 per cell]
4 O 0.082 0.000 0.237 [4 per cell]
5 O 0.247 0.323 0.199 [8 per cell]

Values from the calculation:
The calculated total energy comes out at -91.29 eV per formula unit. As for the crystal system: monoclinic.

(9)
First-principles (GGA+U) data for crystalline Pa4CoO10 at its relaxed geometry, as listed in the Alexandria database.

Unit cell a=8.523 b=8.523 c=5.382 alpha=90.00 beta=90.00 gamma=90.00
Space group I4/m (No. 87)
One atom of each set of equivalent atoms:
1 Pa 0.102 0.704 0.000 [8 per cell]
2 Co 0.000 0.000 0.500 [2 per cell]
3 O 0.000 0.500 0.250 [4 per cell]
4 O 0.101 0.203 0.247 [16 per cell]

Values from the calculation:
The calculated total energy comes out at -141.44 eV per formula unit. As for the crystal system: tetragonal.

(10)
First-principles (GGA+U) data for crystalline Pa4Co6O19 at its relaxed geometry, as listed in the Alexandria database.

Unit cell a=8.814 b=8.814 c=8.814 alpha=90.00 beta=90.00 gamma=90.00
Space group I23 (No. 197)
One atom of each set of equivalent atoms:
1 Pa 0.153 0.153 0.847 [8 per cell]
2 Co 0.000 0.335 0.500 [12 per cell]
3 O 0.000 0.000 0.000 [2 per cell]
4 O 0.000 0.000 0.298 [12 per cell]
5 O 0.045 0.328 0.703 [24 per cell]

Values from the calculation:
The calculated total energy comes out at -220.80 eV per formula unit. As for the crystal system: cubic.

(11)
First-principles (GGA+U) data for crystalline PaCo2O6 at its relaxed geometry, as listed in the Alexandria database.

Unit cell a=4.8864 b=4.8864 c=4.7632 alpha=90.00 beta=90.00 gamma=120.00
Space group P-31m (No. 162)
One atom of each set of equivalent atoms:
1 Pa 0.0000 0.0000 0.0000 [1 per cell]
2 Co 0.3333 0.6667 0.5000 [2 per cell]
3 O 0.0000 0.3579 0.7211 [6 per cell]

Values from the calculation:
The calculated total energy comes out at -65.96 eV per formula unit. As for the crystal system: trigonal.

(12)
First-principles (GGA+U) data for crystalline PaCo3O6 at its relaxed geometry, as listed in the Alexandria database.

Unit cell a=5.758 b=5.927 c=6.058 alpha=60.74 beta=62.44 gamma=89.19
Space group P-1 (No. 2)
One atom of each set of equivalent atoms:
1 Pa 0.000 0.000 0.000 [1 per cell]
2 Co 0.500 0.000 0.500 [1 per cell]
3 Co 0.500 0.500 0.000 [1 per cell]
4 Co 0.500 0.500 0.500 [1 per cell]
5 O 0.291 0.260 0.495 [2 per cell]
6 O 0.292 0.785 0.914 [2 per cell]
7 O 0.304 0.301 0.908 [2 per cell]

Values from the calculation:
The calculated total energy comes out at -72.07 eV per formula unit. As for the crystal system: triclinic.

Number 2 is which compound? ZnCoP2O